The following is a DFT calculation (PBE with a Hubbard U) of crystalline MnAl2F at its relaxed geometry.

Cell: 4.5418 4.5418 4.5418 Å, 60.00 60.00 60.00°
Closest atoms and distances in Å follow each position.
Fractional coordinates of all 4 atoms:
Mn 0.5000 0.5000 0.5000  8 Al 2.78
Al 0.2500 0.2500 0.2500  4 F 2.78, 4 Mn 2.78
Al 0.7500 0.7500 0.7500  4 Mn 2.78, 4 F 2.78
F 0.0000 0.0000 0.0000  8 Al 2.78

Computed properties:
- E (eV/atom) = -4.33
- N(E_F) (states/eV/f.u.) = 1.9
- calculated density (g/cm³) = 3.21